Entry from the Alexandria database: an optimized crystal structure of RbTh2P3O12 (GGA-PBEsol).

Crystal system: monoclinic
Magnetic moment (μB per formula unit): 0.000
Uncorrected formation energy (kJ/mol of atoms): -282.0

a b c (Å): 17.7672 6.8891 8.1217
angles (deg): 90.00 102.36 90.00
Space group C2/c (No. 15)
Inequivalent atoms, fractional coordinates:
1 Rb 0.0000 0.0968 0.2500
2 Th 0.1542 0.4063 0.0327
3 P 0.0000 0.4024 0.7500
4 P 0.1917 0.0898 0.6827
5 O 0.0268 0.2813 0.9114
6 O 0.0721 0.4705 0.2444
7 O 0.1441 0.0967 0.1525
8 O 0.1548 0.2559 0.5691
9 O 0.2042 0.1521 0.8724
10 O 0.2231 0.4502 0.3297

Entry from the Alexandria database: an optimized crystal structure of RbTiP2O7 (GGA-PBEsol).

Crystal system: monoclinic
Magnetic moment (μB per formula unit): 1.000
Uncorrected formation energy (kJ/mol of atoms): -236.3

a b c (Å): 7.5432 10.2351 8.3220
angles (deg): 90.00 105.80 90.00
Space group P2_1/c (No. 14)
Inequivalent atoms, fractional coordinates:
1 Rb 0.1851 0.1814 0.0535
2 Ti 0.2370 0.5998 0.2601
3 P 0.1325 0.5970 0.8300
4 P 0.4370 0.6353 0.6879
5 O 0.0023 0.5020 0.2734
6 O 0.0846 0.7349 0.7602
7 O 0.1501 0.5889 0.0151
8 O 0.3230 0.6069 0.5097
9 O 0.3323 0.5584 0.8068
10 O 0.3700 0.0772 0.7701
11 O 0.4460 0.7202 0.2363

Entry from the Alexandria database: an optimized crystal structure of Rb2Ti2P3O12 (GGA-PBEsol).

Crystal system: cubic
Magnetic moment (μB per formula unit): 1.009
Uncorrected formation energy (kJ/mol of atoms): -246.6

a b c (Å): 9.9748 9.9748 9.9748
angles (deg): 90.00 90.00 90.00
Space group P2_13 (No. 198)
Inequivalent atoms, fractional coordinates:
1 Rb 0.0413 0.0413 0.0413
2 Rb 0.1807 0.3193 0.6807
3 Ti 0.1084 0.8916 0.3916
4 Ti 0.1630 0.6630 0.8370
5 P 0.0234 0.2059 0.3759
6 O 0.0085 0.5538 0.7725
7 O 0.0169 0.0579 0.3313
8 O 0.0471 0.7930 0.2307
9 O 0.1038 0.8309 0.7518

Entry from the Alexandria database: an optimized crystal structure of Rb3TmP2O8 (GGA-PBEsol).

Crystal system: trigonal
Magnetic moment (μB per formula unit): 0.000
Uncorrected formation energy (kJ/mol of atoms): -252.0

a b c (Å): 5.6489 5.6489 7.9913
angles (deg): 90.00 90.00 120.00
Space group P-3m1 (No. 164)
Inequivalent atoms, fractional coordinates:
1 Rb 0.0000 0.0000 0.0000
2 Rb 0.3333 0.6667 0.7470
3 Tm 0.0000 0.0000 0.5000
4 P 0.3333 0.6667 0.2746
5 O 0.1837 0.3673 0.3426
6 O 0.3333 0.6667 0.0843

Entry from the Alexandria database: an optimized crystal structure of RbTmP4O12 (GGA-PBEsol).

Crystal system: monoclinic
Magnetic moment (μB per formula unit): 0.000
Uncorrected formation energy (kJ/mol of atoms): -240.2

a b c (Å): 10.2025 8.8033 12.6689
angles (deg): 90.00 124.13 90.00
Space group P2_1/c (No. 14)
Inequivalent atoms, fractional coordinates:
1 Rb 0.2352 0.0627 0.0420
2 Tm 0.3144 0.7272 0.8163
3 P 0.0244 0.0243 0.2796
4 P 0.1989 0.6130 0.0244
5 P 0.3279 0.1701 0.3691
6 P 0.3919 0.0910 0.7430
7 O 0.0353 0.5506 0.9010
8 O 0.0736 0.5870 0.7180
9 O 0.1360 0.5940 0.3027
10 O 0.1553 0.1580 0.3456
11 O 0.1642 0.7152 0.1003
12 O 0.2696 0.0475 0.5963
13 O 0.2816 0.2101 0.7564
14 O 0.2974 0.6721 0.9802
15 O 0.3714 0.0244 0.3355
16 O 0.4251 0.5447 0.3255
17 O 0.4333 0.2423 0.4968
18 O 0.4717 0.6764 0.7411

Entry from the Alexandria database: an optimized crystal structure of RbVP2O8 (GGA-PBEsol).

Crystal system: monoclinic
Magnetic moment (μB per formula unit): 0.000
Uncorrected formation energy (kJ/mol of atoms): -215.1

a b c (Å): 5.0687 8.5894 14.2779
angles (deg): 90.00 92.27 90.00
Space group P2_1/c (No. 14)
Inequivalent atoms, fractional coordinates:
1 Rb 0.2284 0.0219 0.3961
2 V 0.2399 0.5167 0.3446
3 P 0.2398 0.6795 0.5589
4 P 0.2713 0.2487 0.1729
5 O 0.0187 0.1342 0.8936
6 O 0.0518 0.1308 0.2025
7 O 0.2252 0.6202 0.4554
8 O 0.2413 0.1036 0.7367
9 O 0.2511 0.2057 0.5724
10 O 0.2812 0.6491 0.0629
11 O 0.4593 0.6737 0.2946
12 O 0.4634 0.5857 0.6111

Entry from the Alexandria database: an optimized crystal structure of Rb2VP2O8 (GGA-PBEsol).

Relative energy among the computed polymorphs (meV per atom): 6
Crystal system: orthorhombic
Magnetic moment (μB per formula unit): 1.000
Uncorrected formation energy (kJ/mol of atoms): -223.2

a b c (Å): 12.3971 7.2088 9.5685
angles (deg): 90.00 90.00 90.00
Space group Pnma (No. 62)
Inequivalent atoms, fractional coordinates:
1 Rb 0.0986 0.2500 0.1393
2 Rb 0.1039 0.7500 0.4214
3 V 0.2098 0.7500 0.9738
4 P 0.1537 0.0455 0.7225
5 O 0.0392 0.5148 0.7036
6 O 0.0872 0.7500 0.0272
7 O 0.1591 0.2500 0.7950
8 O 0.2151 0.0609 0.5820
9 O 0.2241 0.5679 0.8231

Entry from the Alexandria database: an optimized crystal structure of RbVP2O8 (GGA-PBEsol).

Crystal system: triclinic
Magnetic moment (μB per formula unit): 0.000
Uncorrected formation energy (kJ/mol of atoms): -214.2

a b c (Å): 7.4639 8.6488 9.3020
angles (deg): 64.51 67.58 67.08
Space group P-1 (No. 2)
Inequivalent atoms, fractional coordinates:
1 Rb 0.0000 0.0000 0.0000
2 Rb 0.1565 0.1607 0.5251
3 V 0.2994 0.2863 0.0653
4 V 0.5000 0.5000 0.5000
5 P 0.0641 0.4320 0.7813
6 P 0.3983 0.6671 0.7777
7 P 0.4535 0.8779 0.2306
8 O 0.0392 0.6550 0.2585
9 O 0.0697 0.3796 0.2097
10 O 0.1241 0.3211 0.9469
11 O 0.2208 0.8187 0.7383
12 O 0.2600 0.4730 0.6433
13 O 0.2756 0.0547 0.2071
14 O 0.3378 0.5084 0.9307
15 O 0.3628 0.7343 0.3855
16 O 0.3675 0.0971 0.7566
17 O 0.4584 0.2737 0.1808
18 O 0.4625 0.4062 0.3667
19 O 0.4930 0.8187 0.0801